[1]
PBE ErTcGe, relaxed; energy relative to the elements = -0.36 eV per atom; excess energy over the best structure of this formula in the dataset = 198 meV per atom; space group = P-6m2; total energy = -20.63 eV per cell
1.0
-2.905 1.104 1.914
1.221 -2.508 3.300
1.393 4.084 -0.241
Tc Er Ge
1 1 1
Cartesian
0.852 2.070 1.258
-0.658 0.425 3.396
-0.484 0.184 0.319


[2]
PBE Er4TcGe, relaxed; energy relative to the elements = -0.41 eV per atom; space group = Pnma; total energy = -142.89 eV per cell
1.0
4.335 0.000 0.000
0.000 7.693 0.000
0.000 0.000 17.628
Ge Er Tc
4 16 4
Cartesian
1.084 5.743 5.377
1.084 1.897 3.437
3.251 1.950 12.252
3.251 5.796 14.191
1.084 3.877 7.603
1.084 4.281 12.655
1.084 5.029 16.697
3.251 3.412 4.973
3.251 2.995 15.031
3.251 6.841 11.412
3.251 3.816 10.025
3.251 7.662 16.417
1.084 0.031 1.211
3.251 7.258 3.841
1.084 0.852 6.216
1.084 1.183 9.745
1.084 4.698 2.598
3.251 6.510 7.883
1.084 0.435 13.788
3.251 2.664 0.931
1.084 5.759 9.961
1.084 1.913 16.481
3.251 5.780 1.147
3.251 1.934 7.667


[3]
PBE Er2TcGe2, relaxed; energy relative to the elements = -0.69 eV per atom; excess energy over the best structure of this formula in the dataset = 0 meV per atom; space group = C2/m; total energy = -64.35 eV per cell
1.0
-0.967 2.303 -3.397
-1.227 -3.415 -4.584
-9.050 1.619 1.057
Ge Er Tc
4 4 2
Cartesian
-1.641 0.554 -1.774
-9.603 -0.047 -5.149
-5.516 0.127 -0.960
-5.728 0.379 -5.963
-7.247 -0.437 -3.467
-1.995 -2.183 -3.530
-9.249 2.690 -3.394
-3.997 0.944 -3.456
-4.798 -1.709 -5.027
-6.446 2.216 -1.896


[4]
PBE ErTcGe, relaxed; energy relative to the elements = -0.51 eV per atom; excess energy over the best structure of this formula in the dataset = 45 meV per atom; space group = P4/nmm; total energy = -42.17 eV per cell
1.0
4.002 0.000 0.000
0.000 4.002 0.000
0.000 0.000 7.230
Tc Er Ge
2 2 2
Cartesian
0.000 0.000 3.615
2.001 2.001 3.615
0.000 2.001 6.073
2.001 0.000 1.157
0.000 2.001 1.942
2.001 0.000 5.288


Magnetic moment for every record listed, in sequence, given in μB/f.u.: 0.00; 0.00; 0.00; 0.00.